(1)
## Sm4Ir2Pb (PBE-GGA)

Data for a relaxed structure of Sm4Ir2Pb.

Lattice parameters (Å, degrees): 4.699 4.699 10.619 77.22 77.22 60.00
Fractional coordinates of all 7 atoms:
Sm1 0.389 0.389 0.833
Sm2 0.201 0.201 0.397
Sm3 0.799 0.799 0.603
Sm4 0.611 0.611 0.167
Ir1 0.100 0.100 0.699
Ir2 0.900 0.900 0.301
Pb1 0.000 0.000 0.000

Computed properties:
As for the formation enthalpy at 0 K: -562 meV/atom.


(2)
## BCF2 (PBE-GGA)

Data for a relaxed structure of BCF2.

Lattice parameters (Å, degrees): 4.804 4.804 4.804 60.00 60.00 60.00
Fractional coordinates of all 8 atoms:
B1 0.250 0.250 0.250
B2 0.000 0.000 0.000
C1 0.750 0.750 0.750
C2 0.500 0.500 0.500
F1 0.125 0.625 0.125
F2 0.625 0.125 0.125
F3 0.125 0.125 0.125
F4 0.125 0.125 0.625

Computed properties:
The energy above the most stable polymorph in this dataset comes out at 406 meV/atom. Its uncorrected formation energy is 357 kJ/mol of formula units.


(3)
## Zr2Co2Ni (PBE-GGA)

Data for a relaxed structure of Zr2Co2Ni.

Lattice parameters (Å, degrees): 6.573 6.573 3.556 90.00 90.00 90.00
Fractional coordinates of all 10 atoms:
Ni1 0.000 0.000 0.000
Ni2 0.500 0.500 0.000
Co1 0.374 0.874 0.000
Co2 0.874 0.626 0.000
Co3 0.626 0.126 0.000
Co4 0.126 0.374 0.000
Zr1 0.179 0.679 0.500
Zr2 0.679 0.821 0.500
Zr3 0.821 0.321 0.500
Zr4 0.321 0.179 0.500

Computed properties:
The energy above the most stable polymorph in this dataset comes out at 52 meV/atom. As for the formation enthalpy at 0 K: -271 meV/atom.


(4)
## Li3PaAs4O12 (PBE-GGA)

Data for a relaxed structure of Li3PaAs4O12.

Lattice parameters (Å, degrees): 6.740 6.740 6.740 105.50 105.50 105.50
Fractional coordinates of all 20 atoms:
Li1 0.591 0.409 0.000
Li2 0.409 0.000 0.591
Li3 0.000 0.591 0.409
Pa1 0.000 0.000 0.000
As1 0.915 0.085 0.500
As2 0.085 0.500 0.915
As3 0.500 0.915 0.085
As4 0.500 0.500 0.500
O1 0.500 0.344 0.656
O2 0.928 0.500 0.072
O3 0.072 0.928 0.500
O4 0.500 0.072 0.928
O5 0.308 0.995 0.215
O6 0.215 0.308 0.995
O7 0.995 0.215 0.308
O8 0.692 0.785 0.005
O9 0.005 0.692 0.785
O10 0.785 0.005 0.692
O11 0.656 0.500 0.344
O12 0.344 0.656 0.500

Computed properties:
Its uncorrected formation energy is -2886 kJ/mol of formula units.


(5)
## Cs2Te2Cl7 (PBE-GGA)

Data for a relaxed structure of Cs2Te2Cl7.

Lattice parameters (Å, degrees): 8.091 7.207 7.207 94.56 93.16 93.16
Last column: magnetic moment on the atom in μB.
Fractional coordinates of all 11 atoms:
Cs1 0.000 0.238 0.762  0.00
Cs2 0.000 0.762 0.238  0.00
Te1 0.531 0.273 0.273  0.20
Te2 0.469 0.727 0.727  0.20
Cl1 0.702 0.886 0.555  0.05
Cl2 0.298 0.445 0.114  0.05
Cl3 0.298 0.114 0.445  0.05
Cl4 0.702 0.555 0.886  0.05
Cl5 0.500 0.000 0.000  -0.01
Cl6 0.145 0.738 0.738  0.01
Cl7 0.855 0.262 0.262  0.01

Computed properties:
Its uncorrected formation energy is -984 kJ/mol of formula units.


(6)
## Nb3TlZn (PBE-GGA)

Data for a relaxed structure of Nb3TlZn.

Lattice parameters (Å, degrees): 4.749 4.749 4.749 90.00 90.00 90.00
Fractional coordinates of all 5 atoms:
Zn1 0.000 0.000 0.000
Tl1 0.500 0.500 0.500
Nb1 0.000 0.500 0.000
Nb2 0.000 0.000 0.500
Nb3 0.500 0.000 0.000

Computed properties:
The energy above the most stable polymorph in this dataset comes out at 0 meV/atom. As for the formation enthalpy at 0 K: 1008 meV/atom.


(7)
## AlZnTc2 (PBE-GGA)

Data for a relaxed structure of AlZnTc2.

Lattice parameters (Å, degrees): 4.226 2.696 5.184 78.42 90.00 90.00
Fractional coordinates of all 4 atoms:
Zn1 0.500 0.250 0.250
Tc1 0.000 0.998 0.999
Tc2 0.000 0.502 0.501
Al1 0.500 0.750 0.750

Computed properties:
The energy above the most stable polymorph in this dataset comes out at 195 meV/atom. As for the formation enthalpy at 0 K: -12 meV/atom.


(8)
## AcHfZr (PBE-GGA)

Data for a relaxed structure of AcHfZr.

Lattice parameters (Å, degrees): 4.536 4.536 8.708 90.00 90.00 90.00
Fractional coordinates of all 6 atoms:
Zr1 0.500 0.000 0.233
Zr2 0.000 0.500 0.767
Ac1 0.500 0.000 0.651
Ac2 0.000 0.500 0.349
Hf1 0.500 0.500 0.000
Hf2 0.000 0.000 0.000

Computed properties:
The energy above the most stable polymorph in this dataset comes out at 29 meV/atom. As for the formation enthalpy at 0 K: 301 meV/atom.


Listing M_tot for the structures above in their given order: 0.00; 0.00; 0.00; 0.00; 0.09; 0.00; 0.00; 0.00 μB/atom.
Listing Fermi-level density of states for the structures above in their given order: 3.44; 1.80; 5.79; 2.61; 4.83; 0.87; 2.97; 4.27 states/eV/f.u..